First-principles (PBE) data for a relaxed BaNaF crystal, as listed in the Alexandria database.

```
BaNaF
1.0
6.352 0.000 -0.013
0.000 4.650 0.000
-3.084 0.000 7.402
F Na Ba
2 2 2
direct
0.435 0.250 0.366
0.565 0.750 0.634
0.046 0.250 0.168
0.954 0.750 0.832
0.588 0.750 0.309
0.412 0.250 0.691
```

## Properties
Total energy, eV/f.u.: -10.634

---

First-principles (PBE) data for a relaxed La2PuInN crystal, as listed in the Alexandria database.

```
La2PuInN
1.0
4.731 0.000 0.000
0.000 5.199 0.000
0.000 0.000 5.199
La N In Pu
2 1 1 1
direct
0.000 0.500 0.000
0.000 0.000 0.500
0.000 0.000 0.000
0.500 0.500 0.500
0.500 0.000 0.000
```

## Properties
Total energy, eV/f.u.: -39.034

---

First-principles (PBE) data for a relaxed YZn2Cd2 crystal, as listed in the Alexandria database.

```
YZn2Cd2
1.0
-3.365 -2.117 1.488
2.582 -2.578 2.169
-0.637 1.291 6.446
Zn Y Cd
2 1 2
direct
0.398 0.398 0.203
0.602 0.602 0.797
0.000 0.000 0.000
0.250 0.750 0.500
0.750 0.250 0.500
```

## Properties
ΔH_f (0 K), eV/f.u.: -1.19

---

First-principles (PBE) data for a relaxed Pr2B3IrRh12 crystal, as listed in the Alexandria database.

```
Pr2B3IrRh12
1.0
7.196 -0.186 -0.132
3.392 6.349 -0.132
3.392 1.974 6.036
Rh Pr Ir B
12 2 1 3
direct
0.265 0.265 0.880
0.559 0.151 0.151
0.880 0.265 0.265
0.849 0.849 0.441
0.120 0.735 0.735
0.735 0.735 0.120
0.735 0.120 0.735
0.441 0.849 0.849
0.151 0.151 0.559
0.849 0.441 0.849
0.265 0.880 0.265
0.151 0.559 0.151
0.591 0.591 0.591
0.409 0.409 0.409
0.000 0.000 0.000
0.500 0.000 0.000
0.000 0.500 0.000
0.000 0.000 0.500
```

## Properties
ΔH_f (0 K), eV/f.u.: -1.04

---

First-principles (PBE) data for a relaxed Li2ScHg crystal, as listed in the Alexandria database.

```
Li2ScHg
1.0
-1.892 0.414 -7.400
4.769 -5.777 -1.543
-0.699 -4.564 -4.030
Li Sc Hg
4 2 2
direct
0.659 0.125 0.250
0.875 0.909 0.750
0.375 0.341 0.750
0.091 0.625 0.250
0.250 0.750 0.500
0.500 0.500 0.000
0.000 0.000 0.000
0.750 0.250 0.500
```

## Properties
ΔH_f (0 K), eV/f.u.: 0.18

---

First-principles (PBE) data for a relaxed TlCo2AgCl8 crystal, as listed in the Alexandria database.

```
TlCo2AgCl8
1.0
-5.421 2.972 1.648
-5.145 -3.420 1.665
-0.768 -0.006 9.908
Cl Ag Co Tl
8 1 2 1
direct
0.403 0.717 0.825
0.717 0.055 0.825
0.173 0.173 0.482
0.055 0.403 0.825
0.945 0.597 0.175
0.597 0.283 0.175
0.283 0.945 0.175
0.827 0.827 0.518
0.000 0.000 0.000
0.749 0.749 0.754
0.251 0.251 0.246
0.500 0.500 0.500
```

## Properties
Total energy, eV/f.u.: -41.338

---

First-principles (PBE) data for a relaxed CsPmTe2 crystal, as listed in the Alexandria database.

```
CsPmTe2
1.0
-0.678 -3.164 -3.317
3.470 -2.788 -1.286
-1.587 -8.007 4.725
Te Pm Cs
2 1 1
direct
0.269 0.269 0.192
0.065 0.065 0.805
0.667 0.667 0.998
0.499 0.499 0.504
```

## Properties
Total energy, eV/f.u.: -17.488

---

First-principles (PBE) data for a relaxed SrRe3 crystal, as listed in the Alexandria database.

```
SrRe3
1.0
10.228 0.011 0.006
9.830 2.826 0.006
9.830 1.390 2.461
Sr Re
1 3
direct
0.000 0.000 0.000
0.238 0.238 0.238
0.500 0.500 0.500
0.762 0.762 0.762
```

## Properties
ΔH_f (0 K), eV/f.u.: 3.15

---

Density, record by record: 2.7; 8.4; 7.0; 10.2; 5.1; 3.6; 5.3; 15.2 g cm⁻³